A relaxed K3HoTh2Te6 crystal, computed with PBE.

The structure in POSCAR format:
```
K3HoTh2Te6
1.0
-5.8649 4.2417 2.7613
-0.4954 -7.7309 -0.0381
5.5470 0.9063 6.7634
Te K Th Ho
6 3 2 1
direct
0.7459 0.7459 0.2173
0.6010 0.9282 0.7839
0.2541 0.2541 0.7827
0.0718 0.3990 0.2161
0.9282 0.6010 0.7839
0.3990 0.0718 0.2161
0.8310 0.1690 0.5000
0.5000 0.5000 0.5000
0.1690 0.8310 0.5000
0.6661 0.3339 0.0000
0.3339 0.6661 0.0000
0.0000 0.0000 0.0000
```

Results
As for the space-group type: No. 12. Its uncorrected formation energy is -1.236 eV/atom.



A relaxed NpCdBi2 crystal, computed with PBE.

The structure in POSCAR format:
```
NpCdBi2
1.0
4.3449 0.0000 0.0000
0.0000 5.0209 0.0000
0.0000 0.0000 5.0209
Bi Np Cd
2 1 1
direct
0.0000 0.0000 0.5000
0.0000 0.5000 0.0000
0.5000 0.0000 0.0000
0.5000 0.5000 0.5000
```

Results
As for the space-group type: No. 123. For the formation energy, the calculation gives -0.016 eV/atom.



Ordered uncorrected energy results: -4.699 -5.421; unit eV per atom.